VASP calculation (PBE-GGA) on an optimized crystal structure of NdHoNi2As2.

Unit cell a=4.083 b=4.083 c=7.896 alpha=90.00 beta=90.00 gamma=120.00
Positions (direct):
Ho1 0.000 0.000 0.500
Ni1 0.667 0.333 0.260
Ni2 0.333 0.667 0.740
As1 0.333 0.667 0.260
As2 0.667 0.333 0.740
Nd1 0.000 0.000 0.000

## Properties
E	-36.5	eV for the cell shown
ρ	8.4	g/cm³
ΔE_f	-1.04	eV per atom